(1)
The following is a DFT calculation (PBE-GGA) of ErPaCo3 after structural relaxation.

a b c (Å): 3.7728 3.9908 11.5711
angles (deg): 90.00 99.38 90.00
Last column: nearest neighbours and their distance in Å.
Fractional coordinates of all 10 atoms:
Co: 0.3757 0.2500 0.7514  3 Co 2.29-2.46, 2 Pa 2.56
Co: 0.3129 0.7500 0.6258  2 Co 2.46, 1 Pa 2.58
Co: 0.6243 0.7500 0.2486  3 Co 2.29-2.46, 2 Pa 2.56
Co: 0.6871 0.2500 0.3742  2 Co 2.46, 1 Pa 2.58
Co: 0.5241 0.7500 0.0481  3 Co 2.28-2.29
Co: 0.4759 0.2500 0.9519  3 Co 2.28-2.29
Er: 0.0695 0.2500 0.1390  10 Co 2.85-3.02
Er: 0.9305 0.7500 0.8610  10 Co 2.85-3.02
Pa: 0.8000 0.2500 0.6000  7 Co 2.56-2.76
Pa: 0.2000 0.7500 0.4000  7 Co 2.56-2.76

Values from the calculation:
- Energy relative to the lowest polymorph listed for this composition: 0 meV/atom
- Calculated formation energy: -148 kJ/mol of formula units

(2)
The following is a DFT calculation (PBE-GGA) of TlVWSe2 after structural relaxation.

a b c (Å): 4.9529 5.0651 4.9529
angles (deg): 90.00 90.00 90.00
Last column: nearest neighbours and their distance in Å.
Fractional coordinates of all 5 atoms:
W: 0.0000 0.0000 0.0000  4 Se 2.48, 2 V 2.53
Se: 0.5000 0.0000 0.0000  2 W 2.48
Se: 0.0000 0.0000 0.5000  2 W 2.48
V: 0.0000 0.5000 0.0000  2 W 2.53
Tl: 0.5000 0.5000 0.5000  4 V 3.50, 8 Se 3.54

Values from the calculation:
- Energy relative to the elements, uncorrected: 519 meV per atom

(3)
The following is a DFT calculation (PBE-GGA) of Ce2DyAg after structural relaxation.

a b c (Å): 5.3704 5.3704 5.3735
angles (deg): 60.02 60.02 60.00
Last column: nearest neighbours and their distance in Å.
Fractional coordinates of all 4 atoms:
Ag: 0.5000 0.5000 0.5000  8 Ce 3.29
Ce: 0.2501 0.2501 0.2498  4 Dy 3.29, 4 Ag 3.29
Ce: 0.7499 0.7499 0.7502  4 Dy 3.29, 4 Ag 3.29
Dy: 0.0000 0.0000 0.0000  8 Ce 3.29

Values from the calculation:
- Energy relative to the lowest polymorph listed for this composition: 123 meV/atom
- Calculated formation energy: 71 kJ/mol of formula units

(4)
The following is a DFT calculation (PBE-GGA) of CrReTc3 after structural relaxation.

a b c (Å): 4.3394 4.3394 4.3394
angles (deg): 90.00 90.00 90.00
Last column: nearest neighbours and their distance in Å.
Fractional coordinates of all 5 atoms:
Tc: 0.0000 0.0000 0.5000  2 Cr 2.17
Tc: 0.5000 0.0000 0.0000  2 Cr 2.17
Tc: 0.0000 0.5000 0.0000  2 Cr 2.17
Re: 0.5000 0.5000 0.5000  12 Tc 3.07
Cr: 0.0000 0.0000 0.0000  6 Tc 2.17

Values from the calculation:
- Energy relative to the lowest polymorph listed for this composition: 0 meV/atom
- Calculated formation energy: 683 kJ/mol of formula units

| no. | Fermi-level density of states (states/eV per atom) | total DFT energy (no corrections) (eV per atom) |
| --- | --- | --- |
| 1 | 0.93 | -7.381 |
| 2 | 1.38 | -5.762 |
| 3 | 3.17 | -4.647 |
| 4 | 1.08 | -9.218 |